RbTlSnTe2 after structural relaxation, computed with GGA-PBE.

abc: 5.393 9.919 10.052
angles: 57.12 90.00 105.77
Sites, in units of the cell vectors:
Rb  0.379  0.757  0.451
Rb  0.621  0.243  0.549
Tl  0.750  0.500  0.810
Tl  0.250  0.500  0.190
Sn  0.055  0.109  0.125
Sn  0.945  0.891  0.875
Te  0.382  0.765  0.816
Te  0.618  0.235  0.184
Te  0.140  0.281  0.776
Te  0.860  0.719  0.224

Values from the calculation:
Formation energy without anion corrections: -0.49 eV per atom
Symmetry: C2/m (12)
Total magnetic moment: 0.000 Bohr magnetons per cell
Calculated total energy: -3.21 eV/atom

---

YTa2Ag after structural relaxation, computed with GGA-PBE.

abc: 3.482 3.482 7.011
angles: 90.00 90.00 90.00
Sites, in units of the cell vectors:
Ag  0.500  0.500  0.773
Ta  0.000  0.000  0.026
Ta  0.500  0.500  0.206
Y  0.000  0.000  0.495

Values from the calculation:
DOS(E_F): 3.79 states/eV/f.u.
Symmetry: P4mm (99)
Total magnetic moment: 0.000 Bohr magnetons per cell
Excess energy over the best structure of this formula in the dataset: 0.000 eV/atom
Formation enthalpy at 0 K: 4.20 kcal/mol of atoms
Calculated total energy: -8.07 eV/atom

---

LaTb2Sm6Mg after structural relaxation, computed with GGA-PBE.

abc: 8.845 9.256 9.256
angles: 118.96 90.30 90.30
Sites, in units of the cell vectors:
La  0.250  0.965  0.035
La  0.750  0.035  0.965
Tb  0.443  0.780  0.673
Tb  0.057  0.327  0.220
Tb  0.557  0.220  0.327
Tb  0.943  0.673  0.780
Sm  0.049  0.126  0.795
Sm  0.451  0.205  0.874
Sm  0.951  0.874  0.205
Sm  0.549  0.795  0.126
Sm  0.301  0.045  0.469
Sm  0.199  0.531  0.955
Sm  0.699  0.955  0.531
Sm  0.801  0.469  0.045
Sm  0.087  0.736  0.471
Sm  0.413  0.529  0.264
Sm  0.913  0.264  0.529
Sm  0.587  0.471  0.736
Mg  0.250  0.444  0.556
Mg  0.750  0.556  0.444

Values from the calculation:
DOS(E_F): 13.62 states/eV/f.u.
Symmetry: C2/c (15)
Total magnetic moment: 0.000 Bohr magnetons per cell
Formation enthalpy at 0 K: 2.63 kcal/mol of atoms
Calculated total energy: -4.30 eV/atom

---

Ru5C3 after structural relaxation, computed with GGA-PBE.

abc: 2.685 2.685 11.805
angles: 90.00 90.00 90.00
Sites, in units of the cell vectors:
Ru  0.000  0.000  0.000
Ru  0.000  0.000  0.220
Ru  0.000  0.000  0.780
Ru  0.500  0.500  0.392
Ru  0.500  0.500  0.608
C  0.000  0.000  0.500
C  0.500  0.500  0.124
C  0.500  0.500  0.876

Values from the calculation:
DOS(E_F): 4.58 states/eV/f.u.
Symmetry: P4/mmm (123)
Total magnetic moment: 0.000 Bohr magnetons per cell
Excess energy over the best structure of this formula in the dataset: 0.180 eV/atom
Formation enthalpy at 0 K: 19.04 kcal/mol of atoms
Calculated total energy: -8.43 eV/atom